# 1
This record from the Alexandria database describes crystalline CrTe2Ir at its relaxed geometry. The functional is PBE.

Output
* V: 19.930 Å³ per atom
* distance to the lowest polymorph of the same formula: 567 meV per atom
* energy: -5.697 eV per atom

a b c (Å): 4.015 4.015 9.889
angles (deg): 90.00 90.00 90.00
Space group I-4m2 (No. 119)
Asymmetric unit:
Cr: 0.000 0.000 0.000 (multiplicity 2)
Te: 0.000 0.000 0.500 (multiplicity 2)
Te: 0.000 0.500 0.250 (multiplicity 2)
Ir: 0.000 0.500 0.750 (multiplicity 2)



# 2
This record from the Alexandria database describes crystalline KLaTa2 at its relaxed geometry. The functional is PBE.

Output
* V: 24.377 Å³ per atom
* distance to the lowest polymorph of the same formula: 654 meV per atom
* energy: -6.225 eV per atom

a b c (Å): 7.306 7.306 7.306
angles (deg): 90.00 90.00 90.00
Space group F-43m (No. 216)
Asymmetric unit:
K: 0.000 0.000 0.000 (multiplicity 4)
La: 0.250 0.250 0.250 (multiplicity 4)
Ta: 0.000 0.000 0.500 (multiplicity 4)
Ta: 0.250 0.250 0.750 (multiplicity 4)



# 3
This record from the Alexandria database describes crystalline Rb2Pa3IrO12 at its relaxed geometry. The functional is PBE.

Output
* V: 19.604 Å³ per atom
* energy: -8.000 eV per atom

a b c (Å): 8.0059 8.0059 19.0716
angles (deg): 90.00 90.00 120.00
Space group R-3m (No. 166, hexagonal axes)
Asymmetric unit:
Rb: 0.0000 0.0000 0.1139 (multiplicity 6)
Pa: 0.0000 0.5000 0.0000 (multiplicity 9)
Ir: 0.0000 0.0000 0.5000 (multiplicity 3)
O: 0.0756 0.5378 0.3598 (multiplicity 18)
O: 0.1064 0.5532 0.1099 (multiplicity 18)



- Look up the V of the third one.
  19.604 Å³ per atom



- Which value of energy does entry 1 give?
  -5.697 eV per atom



- Number 3 is which compound?
  Rb2Pa3IrO12